Record 1
A plane-wave DFT calculation with PBE was carried out for crystalline CrAsP2 at its relaxed geometry.

Properties
N(E_F): 2.15 states/eV/cell

The structure in POSCAR format:
```
CrAsP2
1.0
3.114 0.000 0.000
0.000 4.496 0.000
0.000 0.000 4.405
P As Cr
2 1 1
Cartesian
0.000 0.000 0.000 P
1.557 2.248 0.000 P
1.557 0.000 2.203 As
0.000 2.248 2.203 Cr
```

---

Record 2
A plane-wave DFT calculation with PBE was carried out for crystalline Cr2As2P at its relaxed geometry.

Properties
energy relative to the lowest polymorph listed for this composition: 0 meV per atom
N(E_F): 1.49 states/eV/cell

The structure in POSCAR format:
```
Cr2As2P
1.0
-4.429 -0.318 -1.186
-1.184 -0.062 4.440
-3.096 3.919 1.607
Cr P As
2 1 2
Cartesian
-5.165 1.706 1.024 Cr
-3.543 1.833 3.837 Cr
0.000 0.000 0.000 P
-2.891 1.009 1.621 As
-5.818 2.530 3.240 As
```

---

Record 3
A plane-wave DFT calculation with PBE was carried out for crystalline CrAsP2 at its relaxed geometry.

Properties
N(E_F): 1.50 states/eV/cell

The structure in POSCAR format:
```
CrAsP2
1.0
8.981 0.038 0.023
8.506 2.883 0.023
8.506 1.421 2.509
P As Cr
2 1 1
Cartesian
7.118 1.189 0.699 P
0.282 0.047 0.028 P
12.377 2.068 1.216 As
19.210 3.210 1.888 Cr
```

---

Record 4
A plane-wave DFT calculation with PBE was carried out for crystalline Cr2AsP at its relaxed geometry.

Properties
N(E_F): 1.96 states/eV/cell

The structure in POSCAR format:
```
Cr2AsP
1.0
-3.930 1.248 1.557
-4.109 -1.547 0.393
-0.129 -1.631 3.935
Cr P As
2 1 1
Cartesian
-7.951 -0.389 2.152 Cr
-6.250 -1.331 4.153 Cr
-4.047 -1.085 3.225 P
-2.042 -0.390 1.248 As
```

---

Record 5
A plane-wave DFT calculation with PBE was carried out for crystalline CrAsP2 at its relaxed geometry.

Properties
N(E_F): 1.80 states/eV/cell

The structure in POSCAR format:
```
CrAsP2
1.0
4.409 0.042 0.000
-1.057 4.281 0.000
0.000 0.000 3.253
As Cr P
1 1 2
Cartesian
2.205 0.021 1.627 As
-0.528 2.140 1.627 Cr
0.000 0.000 0.000 P
1.676 2.161 0.000 P
```

---

Record 6
A plane-wave DFT calculation with PBE was carried out for crystalline CrAsP2 at its relaxed geometry.

Properties
N(E_F): 2.30 states/eV/cell

The structure in POSCAR format:
```
CrAsP2
1.0
2.943 0.006 0.000
-0.005 2.943 0.000
0.000 0.000 6.479
P As Cr
2 1 1
Cartesian
0.000 0.000 3.580 P
0.000 0.000 6.139 P
1.469 1.474 1.620 As
1.469 1.474 4.859 Cr
```

---

Record 7
A plane-wave DFT calculation with PBE was carried out for crystalline Cr3AsP at its relaxed geometry.

Properties
energy relative to the lowest polymorph listed for this composition: 0 meV per atom
N(E_F): 3.18 states/eV/cell

The structure in POSCAR format:
```
Cr3AsP
1.0
4.503 0.000 0.000
0.000 4.503 0.000
0.000 0.000 4.503
Cr P As
3 1 1
Cartesian
0.000 2.251 0.000 Cr
2.251 0.000 0.000 Cr
0.000 0.000 2.251 Cr
0.000 0.000 0.000 P
2.251 2.251 2.251 As
```

---

Record 8
A plane-wave DFT calculation with PBE was carried out for crystalline CrAsP2 at its relaxed geometry.

Properties
N(E_F): 2.36 states/eV/cell

The structure in POSCAR format:
```
CrAsP2
1.0
6.397 1.638 -0.281
3.654 5.500 0.281
-4.714 -4.007 2.324
P Cr As
2 1 1
Cartesian
1.042 0.740 0.000 P
1.807 2.406 1.303 P
3.412 0.642 1.021 Cr
4.101 2.913 0.000 As
```

---

One value per record, in order, for formation enthalpy at 0 K: 1.82, 1.39, 0.67, -0.59, 1.52, 0.27, 2.19, 0.59 eV per formula unit.